The following is a PBE calculation of an optimized crystal structure of Ce2Pu2O7, from Alexandria.

Output
* formation energy (no corrections): -3449 kJ/mol of formula units

a b c (Å): 7.731 7.731 7.731
angles (deg): 60.00 60.00 60.00
Atoms (fractional coordinates):
Ce1 0.000 0.000 0.000
Ce2 0.000 0.000 0.500
Ce3 0.000 0.500 0.000
Ce4 0.500 0.000 0.000
Pu1 0.000 0.500 0.500
Pu2 0.500 0.000 0.500
Pu3 0.500 0.500 0.000
Pu4 0.500 0.500 0.500
O1 0.125 0.125 0.125
O2 0.144 0.144 0.606
O3 0.144 0.606 0.144
O4 0.144 0.606 0.606
O5 0.394 0.394 0.856
O6 0.394 0.856 0.394
O7 0.394 0.856 0.856
O8 0.606 0.144 0.144
O9 0.606 0.144 0.606
O10 0.606 0.606 0.144
O11 0.856 0.394 0.394
O12 0.856 0.394 0.856
O13 0.856 0.856 0.394
O14 0.875 0.875 0.875

The following is a PBE calculation of an optimized crystal structure of Pa2H3Pb, from Alexandria.

a b c (Å): 7.881 7.881 7.049
angles (deg): 116.36 116.36 29.34
Atoms (fractional coordinates):
Pa1 0.000 0.000 0.200
Pa2 0.000 0.000 0.800
Pa3 0.350 0.350 0.351
Pa4 0.650 0.650 0.649
H1 0.139 0.139 0.779
H2 0.140 0.140 0.495
H3 0.500 0.500 0.353
H4 0.500 0.500 0.647
H5 0.860 0.860 0.505
H6 0.861 0.861 0.221
Pb1 0.340 0.340 0.842
Pb2 0.660 0.660 0.158

The following is a PBE calculation of an optimized crystal structure of LaPrNd2As4, from Alexandria.

Output
* ΔH_f (0 K): -1.525 eV per atom

a b c (Å): 7.459 4.309 7.460
angles (deg): 90.00 109.44 90.00
Atoms (fractional coordinates):
La1 0.000 0.000 0.000
Pr1 0.500 0.500 0.000
Nd1 0.000 0.500 0.500
Nd2 0.500 0.000 0.500
As1 0.250 0.000 0.747
As2 0.252 0.500 0.253
As3 0.748 0.500 0.747
As4 0.750 0.000 0.253

The following is a PBE calculation of an optimized crystal structure of Ca2Cu, from Alexandria.

Output
* ΔH_f (0 K): 0.050 eV per atom

a b c (Å): 5.277 5.277 6.947
angles (deg): 90.00 90.00 120.00
Atoms (fractional coordinates):
Ca1 0.000 0.000 0.000
Ca2 0.000 0.000 0.500
Ca3 0.333 0.667 0.250
Ca4 0.667 0.333 0.750
Cu1 0.333 0.667 0.750
Cu2 0.667 0.333 0.250

The following is a PBE calculation of an optimized crystal structure of ThMgCu, from Alexandria.

Output
* ΔH_f (0 K): -0.071 eV per atom

a b c (Å): 4.093 4.093 7.959
angles (deg): 90.00 90.00 90.00
Atoms (fractional coordinates):
Th1 0.250 0.250 0.135
Th2 0.750 0.750 0.865
Mg1 0.250 0.750 0.500
Mg2 0.750 0.250 0.500
Cu1 0.250 0.250 0.735
Cu2 0.750 0.750 0.265

The following is a PBE calculation of an optimized crystal structure of Pr3Er5Bi8, from Alexandria.

Output
* ΔH_f (0 K): -0.859 eV per atom

a b c (Å): 9.041 9.041 9.041
angles (deg): 60.06 60.06 60.06
Atoms (fractional coordinates):
Pr1 0.000 0.500 0.500
Pr2 0.500 0.000 0.500
Pr3 0.500 0.500 0.000
Er1 0.000 0.000 0.000
Er2 0.000 0.000 0.500
Er3 0.000 0.500 0.000
Er4 0.500 0.000 0.000
Er5 0.500 0.500 0.500
Bi1 0.241 0.750 0.750
Bi2 0.246 0.246 0.246
Bi3 0.250 0.250 0.759
Bi4 0.250 0.759 0.250
Bi5 0.750 0.241 0.750
Bi6 0.750 0.750 0.241
Bi7 0.754 0.754 0.754
Bi8 0.759 0.250 0.250

Which total magnetic moment belongs to each record? In order, 10.0, 1.8, 0.0, 0.0, 0.0, 0.0 μB per formula unit.
Which uncorrected energy belongs to each record? In order, -10.090, -5.621, -6.255, -2.650, -4.441, -5.122 eV per atom.
Which ρ belongs to each record? In order, 8.9, 11.7, 6.4, 2.8, 8.0, 9.3 g/cm³.